{"formula": "Ag2W", "functional": "PBE", "state": "relaxed", "formation_enthalpy_0k_ev_per_atom": 0.9206, "final_energy_ev_per_fu": -15.8, "relative_energy_mev_per_atom": 481.9, "cell": [[5.418, 0.000, 0.000], [-2.709, 4.692, 0.000], [0.000, 0.000, 8.131]], "species": ["Ag", "Ag", "Ag", "Ag", "Ag", "Ag", "Ag", "Ag", "W", "W", "W", "W"], "fractional_positions": [[0.000, 0.000, 0.000], [0.000, 0.000, 0.500], [0.174, 0.348, 0.250], [0.174, 0.826, 0.250], [0.348, 0.174, 0.750], [0.652, 0.826, 0.250], [0.826, 0.174, 0.750], [0.826, 0.652, 0.750], [0.333, 0.667, 0.594], [0.333, 0.667, 0.906], [0.667, 0.333, 0.094], [0.667, 0.333, 0.406]]}